(1)
La2PrZn2Ag2 (GGA-PBE, optimized geometry); space-group type = R-3m (166); energy relative to the elements = -0.240 eV per atom
1.0
4.734 0.000 0.000
2.367 4.099 0.000
2.367 1.366 9.301
La Pr Zn Ag
2 1 2 2
direct
0.125 0.125 0.626
0.875 0.875 0.374
0.000 0.000 0.000
0.736 0.736 0.793
0.264 0.264 0.207
0.603 0.603 0.190
0.397 0.397 0.810



(2)
Ac4H8F3 (GGA-PBE, optimized geometry); space-group type = Fm-3m (225); DFT total energy = -4.690 eV per atom
1.0
7.189 0.000 4.150
2.396 6.777 4.150
0.000 0.000 8.301
Ac H F
8 16 6
direct
0.000 0.000 0.000
0.500 0.500 0.000
0.000 0.000 0.500
0.500 0.000 0.000
0.000 0.500 0.500
0.500 0.000 0.500
0.000 0.500 0.000
0.500 0.500 0.500
0.612 0.129 0.129
0.388 0.871 0.871
0.129 0.129 0.612
0.129 0.129 0.129
0.871 0.871 0.388
0.871 0.871 0.871
0.129 0.612 0.129
0.871 0.388 0.871
0.888 0.371 0.371
0.112 0.629 0.629
0.371 0.371 0.888
0.371 0.371 0.371
0.629 0.629 0.112
0.629 0.629 0.629
0.371 0.888 0.371
0.629 0.112 0.629
0.750 0.750 0.250
0.250 0.250 0.750
0.750 0.250 0.250
0.250 0.750 0.750
0.750 0.250 0.750
0.250 0.750 0.250



(3)
Ce2TmMg (GGA-PBE, optimized geometry); space-group type = R3m (160); energy relative to the lowest polymorph listed for this composition = 0.0082 eV per atom; energy relative to the elements = 0.101 eV per atom
1.0
-2.318 0.719 2.239
-2.991 -1.381 -0.218
1.879 -9.170 7.326
Ce Tm Mg
2 1 1
direct
0.084 0.084 0.749
0.250 0.250 0.250
0.667 0.667 0.000
0.500 0.500 0.500



(4)
LaTb6Y5 (GGA-PBE, optimized geometry); space-group type = C2/m (12); energy relative to the elements = 0.021 eV per atom
1.0
-11.396 -0.825 -3.271
0.253 -5.115 -3.500
-0.897 -5.569 2.577
La Tb Y
1 6 5
direct
0.000 0.000 0.000
0.748 0.084 0.334
0.252 0.582 0.334
0.252 0.250 0.000
0.748 0.750 0.000
0.748 0.418 0.666
0.252 0.916 0.666
0.500 0.167 0.666
0.000 0.333 0.333
0.500 0.500 0.000
0.000 0.667 0.667
0.500 0.833 0.334



(5)
ScAs3Pt (GGA-PBE, optimized geometry); space-group type = Pm-3m (221); energy relative to the lowest polymorph listed for this composition = 0.4292 eV per atom; energy relative to the elements = 0.656 eV per atom
1.0
-1.488 -3.407 3.315
3.267 -3.257 -1.880
3.453 1.613 3.207
Sc As Pt
1 3 1
direct
0.000 0.000 0.000
0.000 0.500 0.000
0.000 0.000 0.500
0.500 0.000 0.000
0.500 0.500 0.500



(6)
AcFePb (GGA-PBE, optimized geometry); space-group type = P4_12_12 (92); energy relative to the elements = 0.226 eV per atom
1.0
7.107 0.000 0.000
0.000 7.107 0.000
0.000 0.000 6.966
Fe Pb Ac
4 4 4
direct
0.473 0.473 0.000
0.527 0.527 0.500
0.027 0.973 0.250
0.973 0.027 0.750
0.705 0.295 0.750
0.795 0.795 0.500
0.205 0.205 0.000
0.295 0.705 0.250
0.734 0.266 0.250
0.766 0.766 0.000
0.234 0.234 0.500
0.266 0.734 0.750